(1)
## Sm2Tm8Tc (PBE)

Data for a geometry-optimized Sm2Tm8Tc structure.

abc: 5.374 6.599 9.441
angles: 86.83 106.54 90.00
Positions (direct):
Sm  0.774  0.667  0.548
Sm  0.226  0.333  0.452
Tm  0.419  0.379  0.839
Tm  0.643  0.116  0.285
Tm  0.839  0.164  0.678
Tm  0.968  0.768  0.936
Tm  0.161  0.836  0.322
Tm  0.357  0.884  0.715
Tm  0.581  0.621  0.161
Tm  0.032  0.232  0.064
Tc  0.500  0.000  0.000

Summary:
Formation energy from the elements in eV per atom: 0.01
Space group: C2/m (12)
Total DFT energy (no corrections) in eV per atom: -5.043

***

(2)
## CaLa2Se (PBE)

Data for a geometry-optimized CaLa2Se structure.

abc: 6.392 6.392 6.392
angles: 137.14 137.14 62.22
Positions (direct):
Ca  0.750  0.250  0.500
Se  0.500  0.500  0.000
La  0.000  0.000  0.000
La  0.250  0.750  0.500

Summary:
Space group: I-4m2 (119)
Formation energy from raw total energies in eV/atom: -0.458
Total DFT energy (no corrections) in eV per atom: -4.293